[1]
VASP calculation (PBE-GGA) on CuPt after structural relaxation.

Cell lengths 3.869, 3.869, 4.823 Å; angles 90.00, 90.00, 120.00 degrees
Positions (direct):
Cu: 0.000 0.000 0.000
Cu: 0.000 0.000 0.500
Pt: 0.333 0.667 0.250
Pt: 0.667 0.333 0.750

Output
Symmetry: P6_3/mmc, No. 194
Size of the total moment, Bohr magnetons per cell: 0.0
Energy of formation from the pure elements, meV per atom: 309
Raw total energy, eV per cell: -19.0
Fermi-level density of states, states/eV/atom: 1.9106

***

[2]
VASP calculation (PBE-GGA) on KCaZnRh2 after structural relaxation.

Cell lengths 4.812, 4.812, 5.216 Å; angles 90.00, 90.00, 90.00 degrees
Positions (direct):
K: 0.000 0.000 0.000
Ca: 0.500 0.500 0.000
Zn: 0.500 0.500 0.500
Rh: 0.000 0.500 0.500
Rh: 0.500 0.000 0.500

Output
Symmetry: P4/mmm, No. 123
Size of the total moment, Bohr magnetons per cell: 0.0
Energy of formation from the pure elements, meV per atom: 408
Raw total energy, eV per cell: -17.0
Fermi-level density of states, states/eV/atom: 0.9041

***

[3]
VASP calculation (PBE-GGA) on AcBi2RhO6 after structural relaxation.

Cell lengths 5.675, 6.478, 10.077 Å; angles 90.00, 123.52, 90.00 degrees
Positions (direct):
Ac: 0.000 0.000 0.000
Ac: 0.000 0.500 0.500
Bi: 0.229 0.049 0.717
Bi: 0.229 0.451 0.217
Bi: 0.771 0.549 0.783
Bi: 0.771 0.951 0.283
Rh: 0.500 0.000 0.500
Rh: 0.500 0.500 0.000
O: 0.146 0.092 0.280
O: 0.146 0.408 0.780
O: 0.198 0.650 0.019
O: 0.198 0.850 0.519
O: 0.410 0.247 0.098
O: 0.410 0.253 0.598
O: 0.590 0.747 0.402
O: 0.590 0.753 0.902
O: 0.802 0.150 0.481
O: 0.802 0.350 0.981
O: 0.854 0.592 0.220
O: 0.854 0.908 0.720

Output
Symmetry: P2_1/c, No. 14
Size of the total moment, Bohr magnetons per cell: 0.0
Raw total energy, eV per cell: -128.7
Raw formation energy, meV/atom: -1539

***

[4]
VASP calculation (PBE-GGA) on SrVAu after structural relaxation.

Cell lengths 4.880, 4.880, 4.880 Å; angles 60.00, 60.00, 60.00 degrees
Positions (direct):
Sr: 0.000 0.000 0.000
V: 0.750 0.750 0.750
Au: 0.500 0.500 0.500

Output
Symmetry: F-43m, No. 216
Size of the total moment, Bohr magnetons per cell: 4.0
Energy of formation from the pure elements, meV per atom: 557
Raw total energy, eV per cell: -12.4
Fermi-level density of states, states/eV/atom: 2.4768

***

[5]
VASP calculation (PBE-GGA) on SiGePd2Pb after structural relaxation.

Cell lengths 4.705, 4.705, 4.809 Å; angles 90.00, 90.00, 90.00 degrees
Positions (direct):
Si: 0.000 0.000 0.000
Ge: 0.000 0.000 0.500
Pd: 0.000 0.500 0.000
Pd: 0.500 0.000 0.000
Pb: 0.500 0.500 0.500

Output
Symmetry: P4/mmm, No. 123
Size of the total moment, Bohr magnetons per cell: 0.0
Raw total energy, eV per cell: -23.8
Raw formation energy, meV/atom: 67
Fermi-level density of states, states/eV/atom: 0.2808

***

[6]
VASP calculation (PBE-GGA) on TeRhAu after structural relaxation.

Cell lengths 4.034, 4.034, 5.066 Å; angles 113.56, 113.56, 59.78 degrees
Positions (direct):
Te: 0.000 0.000 0.000
Rh: 0.753 0.753 0.257
Au: 0.534 0.534 0.596

Output
Symmetry: Cm, No. 8
Size of the total moment, Bohr magnetons per cell: 0.0
Raw total energy, eV per cell: -13.9
Raw formation energy, meV/atom: -52
Fermi-level density of states, states/eV/atom: 0.4333

***

[7]
VASP calculation (PBE-GGA) on SiAs2Os after structural relaxation.

Cell lengths 6.419, 6.419, 6.419 Å; angles 153.21, 143.80, 45.60 degrees
Positions (direct):
Si: 0.000 0.000 0.000
As: 0.316 0.816 0.500
As: 0.684 0.184 0.500
Os: 0.500 0.500 0.000

Output
Symmetry: Immm, No. 71
Size of the total moment, Bohr magnetons per cell: 0.0
Raw total energy, eV per cell: -25.1
Raw formation energy, meV/atom: 215
Fermi-level density of states, states/eV/atom: 0.5288

***

[8]
VASP calculation (PBE-GGA) on Pm3Ho2Ge4 after structural relaxation.

Cell lengths 6.155, 6.155, 9.576 Å; angles 98.85, 98.85, 42.27 degrees
Positions (direct):
Pm: 0.000 0.000 0.000
Pm: 0.380 0.380 0.601
Pm: 0.620 0.620 0.399
Ho: 0.318 0.318 0.187
Ho: 0.682 0.682 0.813
Ge: 0.090 0.090 0.616
Ge: 0.343 0.343 0.891
Ge: 0.657 0.657 0.109
Ge: 0.910 0.910 0.384

Output
Symmetry: C2/m, No. 12
Size of the total moment, Bohr magnetons per cell: 0.1
Energy of formation from the pure elements, meV per atom: -707
Raw total energy, eV per cell: -48.2
Fermi-level density of states, states/eV/atom: 0.7414

***

[9]
VASP calculation (PBE-GGA) on NdNi2B2 after structural relaxation.

Cell lengths 5.438, 5.438, 3.960 Å; angles 102.86, 102.86, 34.89 degrees
Positions (direct):
Nd: 0.000 0.000 0.000
Ni: 0.319 0.319 0.401
Ni: 0.681 0.681 0.599
B: 0.262 0.262 0.877
B: 0.738 0.738 0.123

Output
Symmetry: C2/m, No. 12
Size of the total moment, Bohr magnetons per cell: 0.0
Energy of formation from the pure elements, meV per atom: -357
Raw total energy, eV per cell: -31.5
Fermi-level density of states, states/eV/atom: 0.4883

***

[10]
VASP calculation (PBE-GGA) on Ti8OsN2 after structural relaxation.

Cell lengths 6.176, 6.176, 4.377 Å; angles 97.04, 97.04, 111.94 degrees
Positions (direct):
Ti: 0.079 0.339 0.570
Ti: 0.246 0.754 0.000
Ti: 0.339 0.079 0.570
Ti: 0.396 0.396 0.192
Ti: 0.604 0.604 0.808
Ti: 0.661 0.921 0.430
Ti: 0.754 0.246 0.000
Ti: 0.921 0.661 0.430
Os: 0.000 0.000 0.000
N: 0.306 0.694 0.500
N: 0.694 0.306 0.500

Output
Symmetry: C2/m, No. 12
Size of the total moment, Bohr magnetons per cell: 0.0
Raw total energy, eV per cell: -96.8
Raw formation energy, meV/atom: -525
Fermi-level density of states, states/eV/atom: 1.1217

***

[11]
VASP calculation (PBE-GGA) on Dy4Th after structural relaxation.

Cell lengths 6.325, 9.443, 5.980 Å; angles 90.00, 114.18, 90.00 degrees
Positions (direct):
Dy: 0.183 0.190 0.069
Dy: 0.183 0.810 0.569
Dy: 0.241 0.428 0.520
Dy: 0.241 0.572 0.020
Dy: 0.759 0.428 0.980
Dy: 0.759 0.572 0.480
Dy: 0.817 0.190 0.431
Dy: 0.817 0.810 0.931
Th: 0.500 0.103 0.750
Th: 0.500 0.897 0.250

Output
Symmetry: P2/c, No. 13
Size of the total moment, Bohr magnetons per cell: 0.0
Energy of formation from the pure elements, meV per atom: 200
Raw total energy, eV per cell: -49.7
Fermi-level density of states, states/eV/atom: 1.3946

***

[12]
VASP calculation (PBE-GGA) on TcTePI2 after structural relaxation.

Cell lengths 5.382, 5.382, 5.121 Å; angles 90.00, 90.00, 90.00 degrees
Positions (direct):
Tc: 0.000 0.000 0.000
Te: 0.000 0.000 0.500
P: 0.500 0.500 0.500
I: 0.000 0.500 0.000
I: 0.500 0.000 0.000

Output
Symmetry: P4/mmm, No. 123
Size of the total moment, Bohr magnetons per cell: 0.0
Raw total energy, eV per cell: -17.3
Raw formation energy, meV/atom: 944
Fermi-level density of states, states/eV/atom: 1.4742

***

[13]
VASP calculation (PBE-GGA) on LaPrAg4 after structural relaxation.

Cell lengths 6.021, 6.021, 6.021 Å; angles 132.17, 106.29, 92.77 degrees
Positions (direct):
La: 0.000 0.000 0.000
Pr: 0.565 0.065 0.500
Ag: 0.157 0.367 0.790
Ag: 0.412 0.699 0.713
Ag: 0.578 0.367 0.210
Ag: 0.986 0.699 0.287

Output
Symmetry: Imm2, No. 44
Size of the total moment, Bohr magnetons per cell: 0.0
Energy of formation from the pure elements, meV per atom: -279
Raw total energy, eV per cell: -22.8
Fermi-level density of states, states/eV/atom: 0.8374

***

[14]
VASP calculation (PBE-GGA) on Zn3GaP after structural relaxation.

Cell lengths 4.718, 4.718, 4.718 Å; angles 90.00, 90.00, 90.00 degrees
Positions (direct):
Zn: 0.000 0.000 0.500
Zn: 0.000 0.500 0.000
Zn: 0.500 0.000 0.000
Ga: 0.500 0.500 0.500
P: 0.000 0.000 0.000

Output
Symmetry: Pm-3m, No. 221
Size of the total moment, Bohr magnetons per cell: 0.0
Energy of formation from the pure elements, meV per atom: 363
Raw total energy, eV per cell: -10.4
Fermi-level density of states, states/eV/atom: 0.4367

***

[15]
VASP calculation (PBE-GGA) on LiLa2MgRh after structural relaxation.

Cell lengths 5.900, 5.900, 4.592 Å; angles 90.00, 90.00, 90.00 degrees
Positions (direct):
Li: 0.000 0.000 0.000
La: 0.000 0.500 0.500
La: 0.500 0.000 0.500
Mg: 0.500 0.500 0.500
Rh: 0.500 0.500 0.000

Output
Symmetry: P4/mmm, No. 123
Size of the total moment, Bohr magnetons per cell: 0.0
Energy of formation from the pure elements, meV per atom: 468
Raw total energy, eV per cell: -18.4
Fermi-level density of states, states/eV/atom: 1.1622

***

[16]
VASP calculation (PBE-GGA) on NaAc3Tm3Se8 after structural relaxation.

Cell lengths 8.541, 8.541, 8.541 Å; angles 58.55, 58.55, 58.55 degrees
Positions (direct):
Na: 0.000 0.000 0.000
Ac: 0.000 0.000 0.500
Ac: 0.000 0.500 0.000
Ac: 0.500 0.000 0.000
Tm: 0.000 0.500 0.500
Tm: 0.500 0.000 0.500
Tm: 0.500 0.500 0.000
Se: 0.250 0.251 0.728
Se: 0.250 0.728 0.250
Se: 0.261 0.261 0.261
Se: 0.272 0.750 0.749
Se: 0.728 0.250 0.250
Se: 0.739 0.739 0.739
Se: 0.750 0.272 0.750
Se: 0.750 0.750 0.272

Output
Symmetry: R-3m, No. 166
Size of the total moment, Bohr magnetons per cell: 0.0
Raw total energy, eV per cell: -81.7
Raw formation energy, meV/atom: -1782
Fermi-level density of states, states/eV/atom: 0.2882

***

[17]
VASP calculation (PBE-GGA) on LaHo4Zn after structural relaxation.

Cell lengths 8.111, 8.111, 6.210 Å; angles 100.22, 100.22, 113.34 degrees
Positions (direct):
La: 0.102 0.898 0.750
La: 0.898 0.102 0.250
Ho: 0.121 0.337 0.868
Ho: 0.215 0.575 0.446
Ho: 0.337 0.121 0.368
Ho: 0.425 0.785 0.054
Ho: 0.575 0.215 0.946
Ho: 0.663 0.879 0.632
Ho: 0.785 0.425 0.554
Ho: 0.879 0.663 0.132
Zn: 0.500 0.500 0.250
Zn: 0.500 0.500 0.750

Output
Symmetry: C2/c, No. 15
Size of the total moment, Bohr magnetons per cell: 0.0
Energy of formation from the pure elements, meV per atom: -1
Raw total energy, eV per cell: -49.0
Fermi-level density of states, states/eV/atom: 1.4611

***

[18]
VASP calculation (PBE-GGA) on ScMn2 after structural relaxation.

Cell lengths 4.477, 4.477, 5.486 Å; angles 90.00, 90.00, 120.00 degrees
Positions (direct):
Sc: 0.333 0.667 0.250
Sc: 0.667 0.333 0.750
Mn: 0.000 0.000 0.000
Mn: 0.000 0.000 0.500
Mn: 0.333 0.667 0.750
Mn: 0.667 0.333 0.250

Output
Symmetry: P6_3/mmc, No. 194
Size of the total moment, Bohr magnetons per cell: 11.2
Energy of formation from the pure elements, meV per atom: 207
Raw total energy, eV per cell: -48.1
Fermi-level density of states, states/eV/atom: 0.9599

***

[19]
VASP calculation (PBE-GGA) on SmBe4Ir2Pt after structural relaxation.

Cell lengths 8.543, 8.543, 8.543 Å; angles 26.58, 26.58, 26.58 degrees
Positions (direct):
Sm: 0.000 0.000 0.000
Be: 0.129 0.129 0.129
Be: 0.409 0.409 0.409
Be: 0.591 0.591 0.591
Be: 0.871 0.871 0.871
Ir: 0.239 0.239 0.239
Ir: 0.761 0.761 0.761
Pt: 0.500 0.500 0.500

Output
Symmetry: R-3m, No. 166
Size of the total moment, Bohr magnetons per cell: 0.0
Energy of formation from the pure elements, meV per atom: -572
Raw total energy, eV per cell: -48.0
Fermi-level density of states, states/eV/atom: 0.2932

***

[20]
VASP calculation (PBE-GGA) on Ca3Al8Pd3 after structural relaxation.

Cell lengths 8.221, 8.221, 9.093 Å; angles 122.37, 122.37, 31.52 degrees
Positions (direct):
Ca: 0.000 0.000 0.000
Ca: 0.288 0.288 0.296
Ca: 0.712 0.712 0.704
Al: 0.135 0.135 0.423
Al: 0.140 0.140 0.846
Al: 0.346 0.346 0.721
Al: 0.496 0.496 0.326
Al: 0.504 0.504 0.674
Al: 0.654 0.654 0.279
Al: 0.860 0.860 0.154
Al: 0.865 0.865 0.577
Pd: 0.000 0.000 0.500
Pd: 0.338 0.338 0.000
Pd: 0.662 0.662 0.000

Output
Symmetry: C2/m, No. 12
Size of the total moment, Bohr magnetons per cell: 0.0
Energy of formation from the pure elements, meV per atom: -574
Raw total energy, eV per cell: -59.6
Fermi-level density of states, states/eV/atom: 0.2978

***

[21]
VASP calculation (PBE-GGA) on LaHRhAuS after structural relaxation.

Cell lengths 5.980, 5.980, 4.115 Å; angles 99.36, 99.36, 36.95 degrees
Positions (direct):
La: 0.000 0.000 0.000
H: 0.746 0.746 0.055
Rh: 0.247 0.247 0.079
Au: 0.701 0.701 0.563
S: 0.436 0.436 0.466

Output
Symmetry: Cm, No. 8
Size of the total moment, Bohr magnetons per cell: 0.0
Raw total energy, eV per cell: -26.6
Fermi-level density of states, states/eV/atom: 0.1964

***

[22]
VASP calculation (PBE-GGA) on BaFeTe2Pb after structural relaxation.

Cell lengths 5.578, 5.578, 5.033 Å; angles 90.00, 90.00, 90.00 degrees
Positions (direct):
Ba: 0.000 0.000 0.000
Fe: 0.500 0.500 0.500
Te: 0.000 0.500 0.500
Te: 0.500 0.000 0.500
Pb: 0.500 0.500 0.000

Output
Symmetry: P4/mmm, No. 123
Size of the total moment, Bohr magnetons per cell: 2.6
Raw total energy, eV per cell: -22.2
Raw formation energy, meV/atom: -367
Fermi-level density of states, states/eV/atom: 1.1129

***

[23]
VASP calculation (PBE-GGA) on ScIn3Au after structural relaxation.

Cell lengths 5.270, 5.270, 5.270 Å; angles 90.00, 90.00, 90.00 degrees
Positions (direct):
Sc: 0.000 0.000 0.000
In: 0.000 0.500 0.500
In: 0.500 0.000 0.500
In: 0.500 0.500 0.000
Au: 0.500 0.500 0.500

Output
Symmetry: Pm-3m, No. 221
Size of the total moment, Bohr magnetons per cell: 0.0
Energy of formation from the pure elements, meV per atom: 269
Raw total energy, eV per cell: -16.5
Fermi-level density of states, states/eV/atom: 0.7049

***

[24]
VASP calculation (PBE-GGA) on CuPdRh2 after structural relaxation.

Cell lengths 8.922, 8.922, 8.922 Å; angles 17.58, 17.58, 17.58 degrees
Positions (direct):
Cu: 0.000 0.000 0.000
Pd: 0.833 0.833 0.833
Rh: 0.413 0.413 0.413
Rh: 0.587 0.587 0.587

Output
Symmetry: R3m, No. 160
Size of the total moment, Bohr magnetons per cell: 0.9
Energy of formation from the pure elements, meV per atom: 102
Raw total energy, eV per cell: -23.6
Fermi-level density of states, states/eV/atom: 1.9610

***

[25]
VASP calculation (PBE-GGA) on Mg4Ga3Hg4 after structural relaxation.

Cell lengths 9.758, 9.758, 9.758 Å; angles 161.02, 125.02, 58.70 degrees
Positions (direct):
Mg: 0.218 0.218 0.000
Mg: 0.231 0.000 0.231
Mg: 0.769 0.000 0.769
Mg: 0.782 0.782 0.000
Ga: 0.082 0.582 0.500
Ga: 0.500 0.500 0.000
Ga: 0.918 0.418 0.500
Hg: 0.162 0.838 0.324
Hg: 0.487 0.162 0.324
Hg: 0.513 0.838 0.676
Hg: 0.838 0.162 0.676

Output
Symmetry: Immm, No. 71
Size of the total moment, Bohr magnetons per cell: 0.0
Energy of formation from the pure elements, meV per atom: -64
Raw total energy, eV per cell: -17.4
Fermi-level density of states, states/eV/atom: 0.2946

***

no.,ρ (g cm⁻³)
1,13.74
2,4.82
3,9.07
4,6.78
5,8.13
6,11.23
7,8.71
8,7.28
9,7.22
10,6.61
11,8.99
12,5.71
13,8.06
14,4.70
15,4.28
16,7.18
17,8.08
18,5.40
19,11.56
20,4.08
21,8.99
22,6.95
23,6.65
24,11.04
25,7.47